DFT (PBE) results for a geometry-optimized Sr2CaOsN4 structure.

Cell and atoms, written as CIF:
```
data_Sr2CaOsN4
_cell_length_a 7.757
_cell_length_b 7.062
_cell_length_c 5.571
_cell_angle_alpha 90.00
_cell_angle_beta 90.00
_cell_angle_gamma 90.00
_space_group_name_H-M_alt 'P m n 21'
_space_group_IT_number 31
_space_group_name_Hall 'P 2ac -2'
loop_
_atom_site_label
_atom_site_fract_x
_atom_site_fract_y
_atom_site_fract_z
Sr1 0.246 0.168 0.000
Ca1 0.000 0.354 0.514
Os1 0.000 0.662 0.049
N1 0.000 0.409 0.954
N2 0.000 0.656 0.383
N3 0.201 0.792 0.967
```

Computed properties:
total magnetic moment: 0.0 μB/cell
crystal system: orthorhombic
formation energy without anion corrections: -0.470 eV/atom

---

DFT (PBE) results for a geometry-optimized Hf2H2Rh structure.

Cell and atoms, written as CIF:
```
data_Hf2H2Rh
_cell_length_a 4.685
_cell_length_b 4.685
_cell_length_c 6.204
_cell_angle_alpha 90.00
_cell_angle_beta 90.00
_cell_angle_gamma 90.00
_space_group_name_H-M_alt 'I 4/m m m'
_space_group_IT_number 139
_space_group_name_Hall '-I 4 2'
loop_
_atom_site_label
_atom_site_fract_x
_atom_site_fract_y
_atom_site_fract_z
Hf1 0.000 0.500 0.250
H1 0.000 0.000 0.221
Rh1 0.000 0.000 0.500
```

Computed properties:
total magnetic moment: 0.0 μB/cell
crystal system: tetragonal
ΔE to the lowest computed polymorph: 182 meV/atom

---

DFT (PBE) results for a geometry-optimized Li2ScCl structure.

Cell and atoms, written as CIF:
```
data_Li2ScCl
_cell_length_a 3.042
_cell_length_b 4.882
_cell_length_c 10.381
_cell_angle_alpha 90.00
_cell_angle_beta 90.00
_cell_angle_gamma 90.00
_space_group_name_H-M_alt 'I m m m'
_space_group_IT_number 71
_space_group_name_Hall '-I 2 2'
loop_
_atom_site_label
_atom_site_fract_x
_atom_site_fract_y
_atom_site_fract_z
Li1 0.000 0.000 0.209
Sc1 0.000 0.500 0.000
Cl1 0.000 0.500 0.500
```

Computed properties:
total magnetic moment: 0.0 μB/cell
crystal system: orthorhombic
ΔE to the lowest computed polymorph: 226 meV/atom
formation energy without anion corrections: -0.436 eV/atom

---

DFT (PBE) results for a geometry-optimized CaHg2Os structure.

Cell and atoms, written as CIF:
```
data_CaHg2Os
_cell_length_a 3.128
_cell_length_b 3.128
_cell_length_c 8.826
_cell_angle_alpha 90.00
_cell_angle_beta 90.00
_cell_angle_gamma 90.00
_space_group_name_H-M_alt 'P 4 m m'
_space_group_IT_number 99
_space_group_name_Hall 'P 4 -2'
loop_
_atom_site_label
_atom_site_fract_x
_atom_site_fract_y
_atom_site_fract_z
Ca1 0.000 0.000 0.000
Hg1 0.000 0.000 0.554
Hg2 0.500 0.500 0.279
Os1 0.500 0.500 0.766
```

Computed properties:
electronic total energy: -3.04 eV per atom
total magnetic moment: 1.1 μB/cell
crystal system: tetragonal